No. 1
Pr2Nd6Tl | PBE | optimized geometry

Summary:
* space-group type: C2/m (12)
* E above lowest polymorph: 19 meV/atom

a b c (Å): 3.4945 9.9993 12.2027
angles (deg): 114.19 124.84 90.00
Closest atoms and distances in Å follow each position.
Fractional coordinates of all 9 atoms:
Nd 0.1552 0.3259 0.3256  5 Nd 3.25-3.49
Nd 0.8448 0.0003 0.6744  5 Nd 3.25-3.49
Tl 0.0000 0.0000 0.0000  2 Tl 3.49, 12 Nd 3.67-3.71
Pr 0.3346 0.3337 0.6674  2 Pr 3.49, 12 Nd 3.79-3.81
Nd 0.5000 0.3230 0.0000  5 Nd 3.25-3.54
Nd 0.8448 0.6741 0.6744  5 Nd 3.25-3.49
Pr 0.6654 0.6663 0.3326  2 Pr 3.49, 12 Nd 3.79-3.81
Nd 0.1552 0.9997 0.3256  5 Nd 3.25-3.49
Nd 0.5000 0.6770 0.0000  5 Nd 3.25-3.54


No. 2
Li2PrGa2 | PBE | optimized geometry

Summary:
* space-group type: P2_1/m (11)
* E above lowest polymorph: 57 meV/atom

a b c (Å): 4.2270 4.7364 10.3403
angles (deg): 91.09 90.00 90.00
Closest atoms and distances in Å follow each position.
Fractional coordinates of all 10 atoms:
Ga 0.7500 0.6540 0.0214  4 Li 2.51-2.63, 2 Ga 2.60
Ga 0.2500 0.7539 0.6508  5 Li 2.58-2.82
Li 0.2500 0.8422 0.8980  5 Ga 2.51-2.63
Li 0.7500 0.7509 0.4960  4 Ga 2.65-2.82
Ga 0.2500 0.3460 0.9786  4 Li 2.51-2.63, 2 Ga 2.60
Ga 0.7500 0.2461 0.3492  5 Li 2.58-2.82
Pr 0.2500 0.7297 0.2505  7 Ga 3.19-3.38, 6 Li 3.30-3.56
Li 0.7500 0.1578 0.1020  5 Ga 2.51-2.63
Pr 0.7500 0.2703 0.7495  7 Ga 3.19-3.38, 6 Li 3.30-3.56
Li 0.2500 0.2491 0.5040  4 Ga 2.65-2.82


No. 3
LiPm6Tc2 | PBE | optimized geometry

Summary:
* space-group type: Immm (71)

a b c (Å): 8.7482 8.7482 8.7482
angles (deg): 106.80 111.34 110.31
Closest atoms and distances in Å follow each position.
Fractional coordinates of all 18 atoms:
Pm 0.7901 0.7785 0.5687  1 Tc 2.83, 1 Li 3.10
Tc 0.5000 0.6137 0.1137  1 Tc 2.37
Pm 0.9028 0.7126 0.1902  3 Tc 3.07-3.41, 1 Li 3.43
Li 0.0000 0.0000 0.0000  8 Pm 3.10-3.43
Tc 0.3762 0.0000 0.3762  1 Tc 2.44
Tc 0.6238 0.0000 0.6238  1 Tc 2.44
Pm 0.2099 0.7785 0.9884  1 Tc 2.83, 1 Li 3.10
Pm 0.7041 0.3936 0.6895  3 Tc 2.89-3.09
Pm 0.7041 0.0147 0.3105  3 Tc 2.89-3.09
Pm 0.2959 0.9853 0.6895  3 Tc 2.89-3.09
Pm 0.5224 0.7126 0.8098  3 Tc 3.07-3.41, 1 Li 3.43
Pm 0.2959 0.6064 0.3105  3 Tc 2.89-3.09
Pm 0.4776 0.2874 0.1902  3 Tc 3.07-3.41, 1 Li 3.43
Tc 0.5000 0.3863 0.8863  1 Tc 2.37
Li 0.0000 0.5000 0.5000  12 Pm 3.56-3.72
Pm 0.0972 0.2874 0.8098  3 Tc 3.07-3.41, 1 Li 3.43
Pm 0.7901 0.2215 0.0116  1 Tc 2.83, 1 Li 3.10
Pm 0.2099 0.2215 0.4313  1 Tc 2.83, 1 Li 3.10


No. 4
TbHfPa | PBE | optimized geometry

Summary:
* space-group type: I4mm (107)
* E above lowest polymorph: 37 meV/atom

a b c (Å): 3.2211 3.2211 7.8696
angles (deg): 101.81 101.81 90.00
Closest atoms and distances in Å follow each position.
Fractional coordinates of all 3 atoms:
Tb 0.0023 0.0023 0.0045  4 Tb 3.22, 4 Hf 3.43, 4 Pa 3.51
Pa 0.3254 0.3254 0.6508  4 Pa 3.22, 4 Hf 3.24, 4 Tb 3.51
Hf 0.6723 0.6723 0.3447  4 Hf 3.22, 4 Pa 3.24, 4 Tb 3.43


No. 5
ZnReMo2 | PBE | optimized geometry

Summary:
* space-group type: Pmmm (47)

a b c (Å): 2.7913 4.0584 5.3821
angles (deg): 90.00 90.00 90.00
Closest atoms and distances in Å follow each position.
Fractional coordinates of all 4 atoms:
Zn 0.5000 0.5000 0.7500  2 Re 2.69, 2 Zn 2.79, 8 Mo 2.83
Re 0.5000 0.5000 0.2500  2 Zn 2.69, 8 Mo 2.79, 2 Re 2.79
Mo 0.0000 0.0000 0.4922  4 Mo 2.61-2.79, 4 Re 2.79, 4 Zn 2.83
Mo 0.0000 0.0000 0.0078  4 Mo 2.61-2.79, 4 Re 2.79, 4 Zn 2.83


No. 6
TbYScPt | PBE | optimized geometry

Summary:
* space-group type: F-43m (216)

a b c (Å): 5.1119 5.1119 5.1119
angles (deg): 60.00 60.00 60.00
Closest atoms and distances in Å follow each position.
Fractional coordinates of all 4 atoms:
Pt 0.5000 0.5000 0.5000  4 Y 3.13, 4 Tb 3.13
Y 0.2500 0.2500 0.2500  4 Sc 3.13, 4 Pt 3.13
Tb 0.7500 0.7500 0.7500  4 Pt 3.13, 4 Sc 3.13
Sc 0.0000 0.0000 0.0000  4 Tb 3.13, 4 Y 3.13


No. 7
Ce2MgSb3 | PBE | optimized geometry

Summary:
* space-group type: I4/mmm (139)
* raw formation energy: -4.314 eV per formula unit

a b c (Å): 4.4516 4.4516 9.9168
angles (deg): 102.97 102.97 90.00
Closest atoms and distances in Å follow each position.
Fractional coordinates of all 6 atoms:
Ce 0.3376 0.3376 0.6752  6 Sb 3.05-3.21
Ce 0.6624 0.6624 0.3248  6 Sb 3.05-3.21
Sb 0.1668 0.1668 0.3337  1 Mg 3.14, 5 Ce 3.15-3.21
Mg 0.0000 0.0000 0.0000  6 Sb 3.14-3.15
Sb 0.8332 0.8332 0.6663  1 Mg 3.14, 5 Ce 3.15-3.21
Sb 0.5000 0.5000 0.0000  2 Ce 3.05, 4 Mg 3.15


No. 8
Ir3Os3Rh2 | PBE | optimized geometry

Summary:
* space-group type: Amm2 (38)
* E above lowest polymorph: 161 meV/atom

a b c (Å): 2.7119 6.6941 6.6941
angles (deg): 104.39 90.00 90.00
Closest atoms and distances in Å follow each position.
Fractional coordinates of all 8 atoms:
Ir 0.5000 0.6936 0.6936  4 Os 2.64, 4 Ir 2.71-2.93, 4 Rh 2.72
Os 0.0000 0.7854 0.0422  4 Os 2.57-2.72, 1 Rh 2.60, 6 Ir 2.64-2.83
Os 0.0000 0.1794 0.1794  4 Os 2.57-2.71, 2 Rh 2.67, 4 Ir 2.72
Rh 0.0000 0.5881 0.3307  2 Os 2.60-2.67, 3 Rh 2.71-2.72, 6 Ir 2.72-2.81
Ir 0.5000 0.4134 0.9671  3 Ir 2.71-2.93, 6 Os 2.72-2.83, 4 Rh 2.78-2.81
Rh 0.0000 0.3307 0.5881  2 Os 2.60-2.67, 3 Rh 2.71-2.72, 6 Ir 2.72-2.81
Os 0.0000 0.0422 0.7854  4 Os 2.57-2.72, 1 Rh 2.60, 6 Ir 2.64-2.83
Ir 0.5000 0.9671 0.4134  3 Ir 2.71-2.93, 6 Os 2.72-2.83, 4 Rh 2.78-2.81


No. 9
BeInCl2 | PBE | optimized geometry

Summary:
* space-group type: Fm-3m (225)
* E above lowest polymorph: 868 meV/atom
* raw formation energy: 0.486 eV per formula unit

a b c (Å): 5.0919 5.0919 5.0919
angles (deg): 60.00 60.00 60.00
Closest atoms and distances in Å follow each position.
Fractional coordinates of all 4 atoms:
Cl 0.2500 0.2500 0.2500  4 In 3.12, 4 Be 3.12
In 0.5000 0.5000 0.5000  8 Cl 3.12
Cl 0.7500 0.7500 0.7500  4 In 3.12, 4 Be 3.12
Be 0.0000 0.0000 0.0000  8 Cl 3.12


No. 10
La6PrBi | PBE | optimized geometry

Summary:
* space-group type: P4/mmm (123)

a b c (Å): 5.1134 5.1134 10.6017
angles (deg): 90.00 90.00 90.00
Closest atoms and distances in Å follow each position.
Fractional coordinates of all 8 atoms:
La 0.5000 0.5000 0.5000  4 Pr 3.62, 8 La 3.74
Pr 0.0000 0.0000 0.5000  12 La 3.62-3.74
La 0.5000 0.0000 0.2427  8 La 3.62-3.74, 2 Bi 3.63, 2 Pr 3.74
La 0.0000 0.5000 0.7573  8 La 3.62-3.74, 2 Bi 3.63, 2 Pr 3.74
La 0.5000 0.5000 0.0000  4 Bi 3.62, 8 La 3.63
Bi 0.0000 0.0000 0.0000  12 La 3.62-3.63
La 0.5000 0.0000 0.7573  8 La 3.62-3.74, 2 Bi 3.63, 2 Pr 3.74
La 0.0000 0.5000 0.2427  8 La 3.62-3.74, 2 Bi 3.63, 2 Pr 3.74


No. 11
AsPdPt14 | PBE | optimized geometry

Summary:
* space-group type: Amm2 (38)

a b c (Å): 5.5338 5.5338 9.6064
angles (deg): 90.00 90.00 120.35
Closest atoms and distances in Å follow each position.
Fractional coordinates of all 16 atoms:
Pt 0.8783 0.1217 0.2496  10 Pt 2.75-2.78
Pt 0.6253 0.3747 0.0000  10 Pt 2.75-2.79
Pt 0.1252 0.8748 0.0000  10 Pt 2.75-2.81
Pt 0.1231 0.3781 0.5000  2 As 2.70-2.83, 6 Pt 2.75-2.77, 2 Pd 2.76-2.77
Pd 0.1217 0.8783 0.5000  8 Pt 2.75-2.77, 2 As 2.75
As 0.6307 0.3693 0.5000  8 Pt 2.70-2.83, 2 Pd 2.75
Pt 0.8713 0.6211 0.2536  8 Pt 2.71-2.81, 1 As 2.73, 1 Pd 2.75
Pt 0.8713 0.6211 0.7464  8 Pt 2.71-2.81, 1 As 2.73, 1 Pd 2.75
Pt 0.6252 0.8746 0.0000  10 Pt 2.75-2.77
Pt 0.3722 0.6278 0.7503  10 Pt 2.75-2.78
Pt 0.8783 0.1217 0.7504  10 Pt 2.75-2.78
Pt 0.6219 0.8769 0.5000  2 As 2.70-2.83, 6 Pt 2.75-2.77, 2 Pd 2.76-2.77
Pt 0.3722 0.6278 0.2497  10 Pt 2.75-2.78
Pt 0.3789 0.1287 0.2536  8 Pt 2.71-2.81, 1 As 2.73, 1 Pd 2.75
Pt 0.3789 0.1287 0.7464  8 Pt 2.71-2.81, 1 As 2.73, 1 Pd 2.75
Pt 0.1254 0.3748 0.0000  10 Pt 2.75-2.77


No. 12
YAgPtPb | PBE | optimized geometry

Summary:
* space-group type: F-43m (216)

a b c (Å): 4.9769 4.9769 4.9769
angles (deg): 60.00 60.00 60.00
Closest atoms and distances in Å follow each position.
Fractional coordinates of all 4 atoms:
Y 0.0000 0.0000 0.0000  4 Ag 3.05, 4 Pt 3.05
Ag 0.7500 0.7500 0.7500  4 Pb 3.05, 4 Y 3.05
Pb 0.5000 0.5000 0.5000  4 Pt 3.05, 4 Ag 3.05
Pt 0.2500 0.2500 0.2500  4 Y 3.05, 4 Pb 3.05


Ordered density of states at the Fermi level results: 1.45; 0.69; 0.93; 1.90; 0.57; 1.33; 1.62; 1.05; 0.21; 1.43; 1.26; 0.72; unit states/eV/atom.
Ordered final energy results: -4.48; -3.26; -5.65; -7.84; -8.69; -6.24; -5.02; -9.17; -2.42; -5.00; -5.93; -5.29; unit eV/atom.
Ordered magnetic moment results: 0.00; 0.00; 0.00; 0.00; 0.00; 0.97; 0.97; 0.00; 0.91; 0.00; 0.00; 0.00; unit μB per cell.